## i
# PBE-GGA BAsPt2, relaxed
# **Crystal system**: tetragonal
data_BAsPt2
_cell_length_a 5.0207
_cell_length_b 5.0207
_cell_length_c 11.0587
_cell_angle_alpha 90.00
_cell_angle_beta 90.00
_cell_angle_gamma 90.00
_space_group_name_H-M_alt 'I -4 2 d'
_space_group_IT_number 122
_space_group_name_Hall 'I -4 2bw'
loop_
_atom_site_label
_atom_site_type_symbol
_atom_site_fract_x
_atom_site_fract_y
_atom_site_fract_z
B1 B 0.0000 0.0000 0.0000
As1 As 0.0000 0.0000 0.5000
Pt1 Pt 0.1827 0.2500 0.1250

=====

## ii
# PBE-GGA BAsPt2, relaxed
# **Crystal system**: cubic
data_BAsPt2
_cell_length_a 6.0824
_cell_length_b 6.0824
_cell_length_c 6.0824
_cell_angle_alpha 90.00
_cell_angle_beta 90.00
_cell_angle_gamma 90.00
_space_group_name_H-M_alt 'F m -3 m'
_space_group_IT_number 225
_space_group_name_Hall '-F 4 2 3'
loop_
_atom_site_label
_atom_site_type_symbol
_atom_site_fract_x
_atom_site_fract_y
_atom_site_fract_z
B1 B 0.0000 0.0000 0.0000
As1 As 0.0000 0.0000 0.5000
Pt1 Pt 0.2500 0.2500 0.2500

=====

Most stable: i

=====

## i
# PBE-GGA BAs2PtSe, relaxed
# **Crystal system**: tetragonal
data_BAs2PtSe
_cell_length_a 4.8031
_cell_length_b 4.8031
_cell_length_c 5.3373
_cell_angle_alpha 90.00
_cell_angle_beta 90.00
_cell_angle_gamma 90.00
_space_group_name_H-M_alt 'P 4/m m m'
_space_group_IT_number 123
_space_group_name_Hall '-P 4 2'
loop_
_atom_site_label
_atom_site_type_symbol
_atom_site_fract_x
_atom_site_fract_y
_atom_site_fract_z
B1 B 0.0000 0.0000 0.0000
As1 As 0.0000 0.5000 0.5000
Pt1 Pt 0.5000 0.5000 0.5000
Se1 Se 0.5000 0.5000 0.0000

=====

## ii
# PBE-GGA BAs2PtSe, relaxed
# **Crystal system**: tetragonal
data_BAs2PtSe
_cell_length_a 5.0908
_cell_length_b 5.0908
_cell_length_c 4.6420
_cell_angle_alpha 90.00
_cell_angle_beta 90.00
_cell_angle_gamma 90.00
_space_group_name_H-M_alt 'P 4/m m m'
_space_group_IT_number 123
_space_group_name_Hall '-P 4 2'
loop_
_atom_site_label
_atom_site_type_symbol
_atom_site_fract_x
_atom_site_fract_y
_atom_site_fract_z
B1 B 0.0000 0.0000 0.0000
As1 As 0.0000 0.5000 0.5000
Pt1 Pt 0.5000 0.5000 0.0000
Se1 Se 0.5000 0.5000 0.5000

=====

Most stable: i

=====

## i
# PBE-GGA BAsPtSe2, relaxed
# **Crystal system**: tetragonal
data_BAsPtSe2
_cell_length_a 5.1868
_cell_length_b 5.1868
_cell_length_c 4.6537
_cell_angle_alpha 90.00
_cell_angle_beta 90.00
_cell_angle_gamma 90.00
_space_group_name_H-M_alt 'P 4/m m m'
_space_group_IT_number 123
_space_group_name_Hall '-P 4 2'
loop_
_atom_site_label
_atom_site_type_symbol
_atom_site_fract_x
_atom_site_fract_y
_atom_site_fract_z
B1 B 0.0000 0.0000 0.0000
As1 As 0.5000 0.5000 0.0000
Pt1 Pt 0.5000 0.5000 0.5000
Se1 Se 0.0000 0.5000 0.5000

=====

## ii
# PBE-GGA BAsPtSe2, relaxed
# **Crystal system**: tetragonal
data_BAsPtSe2
_cell_length_a 4.4204
_cell_length_b 4.4204
_cell_length_c 4.2635
_cell_angle_alpha 90.00
_cell_angle_beta 90.00
_cell_angle_gamma 90.00
_space_group_name_H-M_alt 'P 4/m m m'
_space_group_IT_number 123
_space_group_name_Hall '-P 4 2'
loop_
_atom_site_label
_atom_site_type_symbol
_atom_site_fract_x
_atom_site_fract_y
_atom_site_fract_z
B1 B 0.0000 0.0000 0.0000
As1 As 0.0000 0.0000 0.5000
Pt1 Pt 0.5000 0.5000 0.5000
Se1 Se 0.0000 0.5000 0.0000

=====

Most stable: ii

=====

## i
# PBE-GGA RbB2As2, relaxed
# **Crystal system**: tetragonal
data_RbB2As2
_cell_length_a 4.4196
_cell_length_b 4.4196
_cell_length_c 8.3883
_cell_angle_alpha 90.00
_cell_angle_beta 90.00
_cell_angle_gamma 90.00
_space_group_name_H-M_alt 'I 4/m m m'
_space_group_IT_number 139
_space_group_name_Hall '-I 4 2'
loop_
_atom_site_label
_atom_site_type_symbol
_atom_site_fract_x
_atom_site_fract_y
_atom_site_fract_z
Rb1 Rb 0.0000 0.0000 0.0000
B1 B 0.0000 0.0000 0.3899
As1 As 0.0000 0.5000 0.2500

=====

## ii
# PBE-GGA RbB2As2, relaxed
# **Crystal system**: tetragonal
data_RbB2As2
_cell_length_a 8.0222
_cell_length_b 8.0222
_cell_length_c 3.1564
_cell_angle_alpha 90.00
_cell_angle_beta 90.00
_cell_angle_gamma 90.00
_space_group_name_H-M_alt 'P 4/m b m'
_space_group_IT_number 127
_space_group_name_Hall '-P 4 2ab'
loop_
_atom_site_label
_atom_site_type_symbol
_atom_site_fract_x
_atom_site_fract_y
_atom_site_fract_z
Rb1 Rb 0.0000 0.0000 0.0000
B1 B 0.0755 0.4245 0.0000
As1 As 0.1237 0.6237 0.5000

=====

Most stable: i

=====

## i
# PBE-GGA Rb2BAs, relaxed
# **Crystal system**: cubic
data_Rb2BAs
_cell_length_a 8.0229
_cell_length_b 8.0229
_cell_length_c 8.0229
_cell_angle_alpha 90.00
_cell_angle_beta 90.00
_cell_angle_gamma 90.00
_space_group_name_H-M_alt 'F m -3 m'
_space_group_IT_number 225
_space_group_name_Hall '-F 4 2 3'
loop_
_atom_site_label
_atom_site_type_symbol
_atom_site_fract_x
_atom_site_fract_y
_atom_site_fract_z
Rb1 Rb 0.2500 0.2500 0.2500
B1 B 0.0000 0.0000 0.0000
As1 As 0.0000 0.0000 0.5000

=====

## ii
# PBE-GGA Rb2BAs, relaxed
# **Crystal system**: tetragonal
data_Rb2BAs
_cell_length_a 4.9461
_cell_length_b 4.9461
_cell_length_c 22.0956
_cell_angle_alpha 90.00
_cell_angle_beta 90.00
_cell_angle_gamma 90.00
_space_group_name_H-M_alt 'I -4 2 d'
_space_group_IT_number 122
_space_group_name_Hall 'I -4 2bw'
loop_
_atom_site_label
_atom_site_type_symbol
_atom_site_fract_x
_atom_site_fract_y
_atom_site_fract_z
Rb1 Rb 0.2303 0.2500 0.1250
B1 B 0.0000 0.0000 0.0000
As1 As 0.0000 0.0000 0.5000

=====

Most stable: i

=====

## i
# PBE-GGA RbBAs2Se, relaxed
# **Crystal system**: tetragonal
data_RbBAs2Se
_cell_length_a 4.5974
_cell_length_b 4.5974
_cell_length_c 5.1387
_cell_angle_alpha 90.00
_cell_angle_beta 90.00
_cell_angle_gamma 90.00
_space_group_name_H-M_alt 'P 4/m m m'
_space_group_IT_number 123
_space_group_name_Hall '-P 4 2'
loop_
_atom_site_label
_atom_site_type_symbol
_atom_site_fract_x
_atom_site_fract_y
_atom_site_fract_z
Rb1 Rb 0.0000 0.0000 0.0000
B1 B 0.5000 0.5000 0.5000
As1 As 0.0000 0.5000 0.5000
Se1 Se 0.5000 0.5000 0.0000

=====

## ii
# PBE-GGA RbBAs2Se, relaxed
# **Crystal system**: tetragonal
data_RbBAs2Se
_cell_length_a 5.7711
_cell_length_b 5.7711
_cell_length_c 5.8841
_cell_angle_alpha 90.00
_cell_angle_beta 90.00
_cell_angle_gamma 90.00
_space_group_name_H-M_alt 'P 4/m m m'
_space_group_IT_number 123
_space_group_name_Hall '-P 4 2'
loop_
_atom_site_label
_atom_site_type_symbol
_atom_site_fract_x
_atom_site_fract_y
_atom_site_fract_z
Rb1 Rb 0.0000 0.0000 0.0000
B1 B 0.5000 0.5000 0.5000
As1 As 0.0000 0.5000 0.0000
Se1 Se 0.0000 0.0000 0.5000

=====

## iii
# PBE-GGA RbBAs2Se, relaxed
# **Crystal system**: tetragonal
data_RbBAs2Se
_cell_length_a 5.0910
_cell_length_b 5.0910
_cell_length_c 6.1488
_cell_angle_alpha 90.00
_cell_angle_beta 90.00
_cell_angle_gamma 90.00
_space_group_name_H-M_alt 'P 4/m m m'
_space_group_IT_number 123
_space_group_name_Hall '-P 4 2'
loop_
_atom_site_label
_atom_site_type_symbol
_atom_site_fract_x
_atom_site_fract_y
_atom_site_fract_z
Rb1 Rb 0.0000 0.0000 0.0000
B1 B 0.5000 0.5000 0.0000
As1 As 0.0000 0.5000 0.5000
Se1 Se 0.0000 0.0000 0.5000

=====

Most stable: i

=====

## i
# PBE-GGA RbBAsSe2, relaxed
# **Crystal system**: tetragonal
data_RbBAsSe2
_cell_length_a 5.0893
_cell_length_b 5.0893
_cell_length_c 4.2739
_cell_angle_alpha 90.00
_cell_angle_beta 90.00
_cell_angle_gamma 90.00
_space_group_name_H-M_alt 'P 4/m m m'
_space_group_IT_number 123
_space_group_name_Hall '-P 4 2'
loop_
_atom_site_label
_atom_site_type_symbol
_atom_site_fract_x
_atom_site_fract_y
_atom_site_fract_z
Rb1 Rb 0.0000 0.0000 0.0000
B1 B 0.5000 0.5000 0.5000
As1 As 0.5000 0.5000 0.0000
Se1 Se 0.0000 0.5000 0.5000

=====

## ii
# PBE-GGA RbBAsSe2, relaxed
# **Crystal system**: tetragonal
data_RbBAsSe2
_cell_length_a 6.0729
_cell_length_b 6.0729
_cell_length_c 6.3115
_cell_angle_alpha 90.00
_cell_angle_beta 90.00
_cell_angle_gamma 90.00
_space_group_name_H-M_alt 'P 4/m m m'
_space_group_IT_number 123
_space_group_name_Hall '-P 4 2'
loop_
_atom_site_label
_atom_site_type_symbol
_atom_site_fract_x
_atom_site_fract_y
_atom_site_fract_z
Rb1 Rb 0.0000 0.0000 0.0000
B1 B 0.5000 0.5000 0.5000
As1 As 0.0000 0.0000 0.5000
Se1 Se 0.0000 0.5000 0.0000

=====

Most stable: i

=====

## i
# PBE-GGA ReBAsSe2, relaxed
# **Crystal system**: tetragonal
data_ReBAsSe2
_cell_length_a 4.3662
_cell_length_b 4.3662
_cell_length_c 4.2248
_cell_angle_alpha 90.00
_cell_angle_beta 90.00
_cell_angle_gamma 90.00
_space_group_name_H-M_alt 'P 4/m m m'
_space_group_IT_number 123
_space_group_name_Hall '-P 4 2'
loop_
_atom_site_label
_atom_site_type_symbol
_atom_site_fract_x
_atom_site_fract_y
_atom_site_fract_z
Re1 Re 0.0000 0.0000 0.0000
B1 B 0.5000 0.5000 0.5000
As1 As 0.5000 0.5000 0.0000
Se1 Se 0.0000 0.5000 0.5000

=====

## ii
# PBE-GGA ReBAsSe2, relaxed
# **Crystal system**: tetragonal
data_ReBAsSe2
_cell_length_a 4.9200
_cell_length_b 4.9200
_cell_length_c 4.7906
_cell_angle_alpha 90.00
_cell_angle_beta 90.00
_cell_angle_gamma 90.00
_space_group_name_H-M_alt 'P 4/m m m'
_space_group_IT_number 123
_space_group_name_Hall '-P 4 2'
loop_
_atom_site_label
_atom_site_type_symbol
_atom_site_fract_x
_atom_site_fract_y
_atom_site_fract_z
Re1 Re 0.0000 0.0000 0.0000
B1 B 0.5000 0.5000 0.5000
As1 As 0.0000 0.0000 0.5000
Se1 Se 0.0000 0.5000 0.0000

=====

Most stable: i